(1)
Mg8RuAu2: relaxed, GGA-PBE. Values from VASP.

Computed properties:
ΔE_f ... -3.18 eV/f.u.
Calculated volume ... 211 Å³/cell
Final energy ... -0.212 Ry per atom
M_tot ... 0.00 μB per formula unit

Cell and atoms, written as Quantum ESPRESSO input:
```
&SYSTEM
  ibrav = 0, nat = 11, ntyp = 3
/
ATOMIC_SPECIES
Mg 24.30 Mg.upf
Ru 101.07 Ru.upf
Au 196.97 Au.upf
ATOMIC_POSITIONS crystal
Mg 0.1257 0.3491 0.7766
Mg 0.1415 0.1415 0.0000
Mg 0.2981 0.0000 0.2981
Mg 0.4274 0.6509 0.7766
Mg 0.5726 0.3491 0.2234
Mg 0.7019 0.0000 0.7019
Mg 0.8585 0.8585 0.0000
Mg 0.8743 0.6509 0.2234
Ru 0.0000 0.5000 0.5000
Au 0.3057 0.8057 0.5000
Au 0.6943 0.1943 0.5000
CELL_PARAMETERS angstrom
-2.2431 3.7330 6.2871
2.2431 -3.7330 6.2871
2.2431 3.7330 -6.2871
```

(2)
MgRu2Au: relaxed, GGA-PBE. Values from VASP.

Computed properties:
ΔE_f ... 1.22 eV/f.u.
Calculated volume ... 63 Å³/cell
Final energy ... -0.408 Ry per atom
M_tot ... 0.00 μB per formula unit

Cell and atoms, written as Quantum ESPRESSO input:
```
&SYSTEM
  ibrav = 0, nat = 4, ntyp = 3
/
ATOMIC_SPECIES
Mg 24.30 Mg.upf
Ru 101.07 Ru.upf
Au 196.97 Au.upf
ATOMIC_POSITIONS crystal
Mg 0.0000 0.0000 0.0000
Ru 0.2519 0.2519 0.2519
Ru 0.7481 0.7481 0.7481
Au 0.5000 0.5000 0.5000
CELL_PARAMETERS angstrom
1.4005 0.8086 9.2474
-1.4005 0.8086 9.2474
0.0000 -1.6172 9.2474
```

(3)
MgRu2Au: relaxed, GGA-PBE. Values from VASP.

Computed properties:
ΔE_f ... 0.88 eV/f.u.
Calculated volume ... 64 Å³/cell
Final energy ... -0.414 Ry per atom
M_tot ... 1.53 μB per formula unit

Cell and atoms, written as Quantum ESPRESSO input:
```
&SYSTEM
  ibrav = 0, nat = 4, ntyp = 3
/
ATOMIC_SPECIES
Mg 24.30 Mg.upf
Ru 101.07 Ru.upf
Au 196.97 Au.upf
ATOMIC_POSITIONS crystal
Mg 0.0000 0.0000 0.0000
Ru 0.2841 0.5000 0.7587
Ru 0.7159 0.5000 0.2413
Au 0.5000 0.0000 0.5000
CELL_PARAMETERS angstrom
2.7938 0.0000 0.0000
0.0000 4.8053 0.0000
-0.1647 0.0000 4.7475
```

(4)
Mg2Ru2Au: relaxed, GGA-PBE. Values from VASP.

Computed properties:
ΔE_f ... 2.58 eV/f.u.
Calculated volume ... 95 Å³/cell
Excess energy over the best structure of this formula in the dataset ... 0.414 eV/atom
Final energy ... -0.330 Ry per atom
M_tot ... 0.00 μB per formula unit

Cell and atoms, written as Quantum ESPRESSO input:
```
&SYSTEM
  ibrav = 0, nat = 5, ntyp = 3
/
ATOMIC_SPECIES
Mg 24.30 Mg.upf
Ru 101.07 Ru.upf
Au 196.97 Au.upf
ATOMIC_POSITIONS crystal
Mg 0.2500 0.7500 0.5000
Mg 0.7500 0.2500 0.5000
Ru 0.1478 0.1478 0.0000
Ru 0.8522 0.8522 0.0000
Au 0.5000 0.5000 0.0000
CELL_PARAMETERS angstrom
-2.4814 2.4814 3.8409
2.4814 -2.4814 3.8409
2.4814 2.4814 -3.8409
```

(5)
MgRu3Au: relaxed, GGA-PBE. Values from VASP.

Computed properties:
ΔE_f ... 8.65 eV/f.u.
Calculated volume ... 89 Å³/cell
Excess energy over the best structure of this formula in the dataset ... 0.000 eV/atom
Final energy ... -0.353 Ry per atom
M_tot ... 2.46 μB per formula unit

Cell and atoms, written as Quantum ESPRESSO input:
```
&SYSTEM
  ibrav = 0, nat = 5, ntyp = 3
/
ATOMIC_SPECIES
Mg 24.30 Mg.upf
Ru 101.07 Ru.upf
Au 196.97 Au.upf
ATOMIC_POSITIONS crystal
Mg 0.0000 0.0000 0.0000
Ru 0.0000 0.0000 0.5000
Ru 0.0000 0.5000 0.0000
Ru 0.5000 0.0000 0.0000
Au 0.5000 0.5000 0.5000
CELL_PARAMETERS angstrom
4.4617 0.0000 0.0000
0.0000 4.4617 0.0000
0.0000 0.0000 4.4617
```

(6)
MgRuAu4: relaxed, GGA-PBE. Values from VASP.

Computed properties:
ΔE_f ... 1.57 eV/f.u.
Calculated volume ... 114 Å³/cell
Final energy ... -0.275 Ry per atom
M_tot ... 1.95 μB per formula unit

Cell and atoms, written as Quantum ESPRESSO input:
```
&SYSTEM
  ibrav = 0, nat = 6, ntyp = 3
/
ATOMIC_SPECIES
Mg 24.30 Mg.upf
Ru 101.07 Ru.upf
Au 196.97 Au.upf
ATOMIC_POSITIONS crystal
Mg 0.0000 0.0000 0.0000
Ru 0.7500 0.7500 0.7500
Au 0.3751 0.3751 0.3751
Au 0.3751 0.3751 0.8747
Au 0.3751 0.8747 0.3751
Au 0.8747 0.3751 0.3751
CELL_PARAMETERS angstrom
0.0000 3.8480 3.8480
3.8480 0.0000 3.8480
3.8480 3.8480 0.0000
```

(7)
MgRu2Au: relaxed, GGA-PBE. Values from VASP.

Computed properties:
ΔE_f ... 0.41 eV/f.u.
Calculated volume ... 62 Å³/cell
Final energy ... -0.423 Ry per atom
M_tot ... 0.00 μB per formula unit

Cell and atoms, written as Quantum ESPRESSO input:
```
&SYSTEM
  ibrav = 0, nat = 4, ntyp = 3
/
ATOMIC_SPECIES
Mg 24.30 Mg.upf
Ru 101.07 Ru.upf
Au 196.97 Au.upf
ATOMIC_POSITIONS crystal
Mg 0.0000 0.0000 0.0000
Ru 0.2500 0.7500 0.5000
Ru 0.5000 0.5000 0.0000
Au 0.7500 0.2500 0.5000
CELL_PARAMETERS angstrom
-2.0053 2.0053 3.8247
2.0053 -2.0053 3.8247
2.0053 2.0053 -3.8247
```

(8)
MgRu2Au: relaxed, GGA-PBE. Values from VASP.

Computed properties:
ΔE_f ... 0.63 eV/f.u.
Calculated volume ... 62 Å³/cell
Final energy ... -0.419 Ry per atom
M_tot ... 0.00 μB per formula unit

Cell and atoms, written as Quantum ESPRESSO input:
```
&SYSTEM
  ibrav = 0, nat = 4, ntyp = 3
/
ATOMIC_SPECIES
Mg 24.30 Mg.upf
Ru 101.07 Ru.upf
Au 196.97 Au.upf
ATOMIC_POSITIONS crystal
Mg 0.0000 0.0000 0.0000
Ru 0.2494 0.2494 0.7683
Ru 0.7506 0.7506 0.2317
Au 0.5000 0.5000 0.5000
CELL_PARAMETERS angstrom
4.7485 -1.4254 0.0000
4.7485 1.4254 0.0000
-0.8551 0.0000 4.6121
```

(9)
MgRu2Au: relaxed, GGA-PBE. Values from VASP.

Computed properties:
ΔE_f ... -0.08 eV/f.u.
Calculated volume ... 63 Å³/cell
Final energy ... -0.432 Ry per atom
M_tot ... 0.00 μB per formula unit

Cell and atoms, written as Quantum ESPRESSO input:
```
&SYSTEM
  ibrav = 0, nat = 4, ntyp = 3
/
ATOMIC_SPECIES
Mg 24.30 Mg.upf
Ru 101.07 Ru.upf
Au 196.97 Au.upf
ATOMIC_POSITIONS crystal
Mg 0.0000 0.0000 0.0000
Ru 0.0000 0.0000 0.4664
Ru 0.5000 0.5000 0.2824
Au 0.5000 0.5000 0.7640
CELL_PARAMETERS angstrom
2.8494 0.0000 0.0000
0.0000 3.7854 0.0000
0.0000 0.0000 5.8275
```

(10)
MgSb2RuAu: relaxed, GGA-PBE. Values from VASP.

Computed properties:
Calculated volume ... 136 Å³/cell
Final energy ... -0.258 Ry per atom
Formation energy from raw total energies ... 4.86 eV/f.u.
M_tot ... 1.92 μB per formula unit

Cell and atoms, written as Quantum ESPRESSO input:
```
&SYSTEM
  ibrav = 0, nat = 5, ntyp = 4
/
ATOMIC_SPECIES
Mg 24.30 Mg.upf
Sb 121.76 Sb.upf
Ru 101.07 Ru.upf
Au 196.97 Au.upf
ATOMIC_POSITIONS crystal
Mg 0.0000 0.0000 0.0000
Sb 0.0000 0.5000 0.5000
Sb 0.5000 0.0000 0.5000
Ru 0.5000 0.5000 0.0000
Au 0.0000 0.0000 0.5000
CELL_PARAMETERS angstrom
5.3119 0.0000 0.0000
0.0000 5.3119 0.0000
0.0000 0.0000 4.8376
```

(11)
MgScRu2Au: relaxed, GGA-PBE. Values from VASP.

Computed properties:
ΔE_f ... 5.15 eV/f.u.
Calculated volume ... 113 Å³/cell
Final energy ... -0.362 Ry per atom
M_tot ... 1.93 μB per formula unit

Cell and atoms, written as Quantum ESPRESSO input:
```
&SYSTEM
  ibrav = 0, nat = 5, ntyp = 4
/
ATOMIC_SPECIES
Mg 24.30 Mg.upf
Sc 44.96 Sc.upf
Ru 101.07 Ru.upf
Au 196.97 Au.upf
ATOMIC_POSITIONS crystal
Mg 0.0000 0.0000 0.0000
Sc 0.5000 0.5000 0.0000
Ru 0.0000 0.5000 0.5000
Ru 0.5000 0.0000 0.5000
Au 0.0000 0.0000 0.5000
CELL_PARAMETERS angstrom
4.9516 0.0000 0.0000
0.0000 4.9516 0.0000
0.0000 0.0000 4.6200
```

(12)
Mg3Sn3Ru2Au: relaxed, GGA-PBE. Values from VASP.

Computed properties:
ΔE_f ... -2.01 eV/f.u.
Calculated volume ... 167 Å³/cell
Final energy ... -0.332 Ry per atom
M_tot ... 0.00 μB per formula unit

Cell and atoms, written as Quantum ESPRESSO input:
```
&SYSTEM
  ibrav = 0, nat = 9, ntyp = 4
/
ATOMIC_SPECIES
Mg 24.30 Mg.upf
Sn 118.71 Sn.upf
Ru 101.07 Ru.upf
Au 196.97 Au.upf
ATOMIC_POSITIONS crystal
Mg 0.0000 0.7209 0.0000
Mg 0.2791 0.2791 0.0000
Mg 0.7209 0.0000 0.0000
Sn 0.0000 0.3892 0.5000
Sn 0.3892 0.0000 0.5000
Sn 0.6108 0.6108 0.5000
Ru 0.3333 0.6667 0.0000
Ru 0.6667 0.3333 0.0000
Au 0.0000 0.0000 0.5000
CELL_PARAMETERS angstrom
7.5685 0.0000 0.0000
-3.7842 6.5545 0.0000
0.0000 0.0000 3.3660
```

(13)
TbMgRuAu: relaxed, GGA-PBE. Values from VASP.

Computed properties:
ΔE_f ... -1.46 eV/f.u.
Calculated volume ... 77 Å³/cell
Final energy ... -0.372 Ry per atom
M_tot ... 0.00 μB per formula unit

Cell and atoms, written as Quantum ESPRESSO input:
```
&SYSTEM
  ibrav = 0, nat = 4, ntyp = 4
/
ATOMIC_SPECIES
Tb 158.93 Tb.upf
Mg 24.30 Mg.upf
Ru 101.07 Ru.upf
Au 196.97 Au.upf
ATOMIC_POSITIONS crystal
Tb 0.0000 0.0000 0.0000
Mg 0.5000 0.5000 0.5000
Ru 0.2500 0.2500 0.2500
Au 0.7500 0.7500 0.7500
CELL_PARAMETERS angstrom
0.0000 3.3774 3.3774
3.3774 0.0000 3.3774
3.3774 3.3774 0.0000
```

(14)
MgTlRu2Au: relaxed, GGA-PBE. Values from VASP.

Computed properties:
ΔE_f ... 7.40 eV/f.u.
Calculated volume ... 131 Å³/cell
Final energy ... -0.270 Ry per atom
M_tot ... 4.19 μB per formula unit

Cell and atoms, written as Quantum ESPRESSO input:
```
&SYSTEM
  ibrav = 0, nat = 5, ntyp = 4
/
ATOMIC_SPECIES
Mg 24.30 Mg.upf
Tl 204.38 Tl.upf
Ru 101.07 Ru.upf
Au 196.97 Au.upf
ATOMIC_POSITIONS crystal
Mg 0.0000 0.0000 0.0000
Tl 0.5000 0.5000 0.0000
Ru 0.0000 0.5000 0.5000
Ru 0.5000 0.0000 0.5000
Au 0.5000 0.5000 0.5000
CELL_PARAMETERS angstrom
5.0521 0.0000 0.0000
0.0000 5.0521 0.0000
0.0000 0.0000 5.1485
```

(15)
MgV2RuAu: relaxed, GGA-PBE. Values from VASP.

Computed properties:
ΔE_f ... 3.70 eV/f.u.
Calculated volume ... 106 Å³/cell
Final energy ... -0.422 Ry per atom
M_tot ... 3.36 μB per formula unit

Cell and atoms, written as Quantum ESPRESSO input:
```
&SYSTEM
  ibrav = 0, nat = 5, ntyp = 4
/
ATOMIC_SPECIES
Mg 24.30 Mg.upf
V 50.94 V.upf
Ru 101.07 Ru.upf
Au 196.97 Au.upf
ATOMIC_POSITIONS crystal
Mg 0.0000 0.0000 0.0000
V 0.0000 0.5000 0.5000
V 0.5000 0.0000 0.5000
Ru 0.5000 0.5000 0.5000
Au 0.5000 0.5000 0.0000
CELL_PARAMETERS angstrom
4.5077 0.0000 0.0000
0.0000 4.5077 0.0000
0.0000 0.0000 5.2080
```

(16)
MgRuW2Au: relaxed, GGA-PBE. Values from VASP.

Computed properties:
ΔE_f ... 11.48 eV/f.u.
Calculated volume ... 94 Å³/cell
Excess energy over the best structure of this formula in the dataset ... 0.899 eV/atom
Final energy ... -0.420 Ry per atom
M_tot ... 1.45 μB per formula unit

Cell and atoms, written as Quantum ESPRESSO input:
```
&SYSTEM
  ibrav = 0, nat = 5, ntyp = 4
/
ATOMIC_SPECIES
Mg 24.30 Mg.upf
Ru 101.07 Ru.upf
W 183.84 W.upf
Au 196.97 Au.upf
ATOMIC_POSITIONS crystal
Mg 0.0000 0.0000 0.0000
Ru 0.5000 0.5000 0.5000
W 0.0000 0.5000 0.0000
W 0.5000 0.0000 0.0000
Au 0.0000 0.0000 0.5000
CELL_PARAMETERS angstrom
4.5964 0.0000 0.0000
0.0000 4.5964 0.0000
0.0000 0.0000 4.4390
```

(17)
MgRuW2Au: relaxed, GGA-PBE. Values from VASP.

Computed properties:
ΔE_f ... 6.99 eV/f.u.
Calculated volume ... 105 Å³/cell
Excess energy over the best structure of this formula in the dataset ... 0.000 eV/atom
Final energy ... -0.486 Ry per atom
M_tot ... 0.00 μB per formula unit

Cell and atoms, written as Quantum ESPRESSO input:
```
&SYSTEM
  ibrav = 0, nat = 5, ntyp = 4
/
ATOMIC_SPECIES
Mg 24.30 Mg.upf
Ru 101.07 Ru.upf
W 183.84 W.upf
Au 196.97 Au.upf
ATOMIC_POSITIONS crystal
Mg 0.0000 0.0000 0.0000
Ru 0.0000 0.0000 0.5000
W 0.0000 0.5000 0.5000
W 0.5000 0.0000 0.5000
Au 0.5000 0.5000 0.0000
CELL_PARAMETERS angstrom
4.6820 0.0000 0.0000
0.0000 4.6820 0.0000
0.0000 0.0000 4.7750
```

(18)
MgZnRuAu: relaxed, GGA-PBE. Values from VASP.

Computed properties:
ΔE_f ... -0.66 eV/f.u.
Calculated volume ... 61 Å³/cell
Final energy ... -0.295 Ry per atom
M_tot ... 0.00 μB per formula unit

Cell and atoms, written as Quantum ESPRESSO input:
```
&SYSTEM
  ibrav = 0, nat = 4, ntyp = 4
/
ATOMIC_SPECIES
Mg 24.30 Mg.upf
Zn 65.41 Zn.upf
Ru 101.07 Ru.upf
Au 196.97 Au.upf
ATOMIC_POSITIONS crystal
Mg 0.0000 0.0000 0.0000
Zn 0.5000 0.5000 0.5000
Ru 0.2500 0.2500 0.2500
Au 0.7500 0.7500 0.7500
CELL_PARAMETERS angstrom
0.0000 3.1287 3.1287
3.1287 0.0000 3.1287
3.1287 3.1287 0.0000
```

(19)
MgZrRuAu: relaxed, GGA-PBE. Values from VASP.

Computed properties:
ΔE_f ... -1.56 eV/f.u.
Calculated volume ... 71 Å³/cell
Final energy ... -0.446 Ry per atom
M_tot ... 0.00 μB per formula unit

Cell and atoms, written as Quantum ESPRESSO input:
```
&SYSTEM
  ibrav = 0, nat = 4, ntyp = 4
/
ATOMIC_SPECIES
Mg 24.30 Mg.upf
Zr 91.22 Zr.upf
Ru 101.07 Ru.upf
Au 196.97 Au.upf
ATOMIC_POSITIONS crystal
Mg 0.0000 0.0000 0.0000
Zr 0.5000 0.5000 0.5000
Ru 0.2500 0.2500 0.2500
Au 0.7500 0.7500 0.7500
CELL_PARAMETERS angstrom
0.0000 3.2866 3.2866
3.2866 0.0000 3.2866
3.2866 3.2866 0.0000
```

(20)
Mg3AuS: relaxed, GGA-PBE. Values from VASP.

Computed properties:
Calculated volume ... 129 Å³/cell
Excess energy over the best structure of this formula in the dataset ... 0.206 eV/atom
Final energy ... -0.186 Ry per atom
Formation energy from raw total energies ... -0.49 eV/f.u.
M_tot ... 0.00 μB per formula unit

Cell and atoms, written as Quantum ESPRESSO input:
```
&SYSTEM
  ibrav = 0, nat = 5, ntyp = 3
/
ATOMIC_SPECIES
Mg 24.30 Mg.upf
Au 196.97 Au.upf
S 32.06 S.upf
ATOMIC_POSITIONS crystal
Mg 0.0000 0.0000 0.5000
Mg 0.0000 0.5000 0.0000
Mg 0.5000 0.0000 0.0000
Au 0.0000 0.0000 0.0000
S 0.5000 0.5000 0.5000
CELL_PARAMETERS angstrom
5.0496 0.0000 0.0000
0.0000 5.0496 0.0000
0.0000 0.0000 5.0496
```